No. 1
# Zr5Zn4Hg

An optimized crystal structure of Zr5Zn4Hg (PBE, Alexandria via LeMat-Bulk).

Output
E_form = -2.46 eV per formula unit
M_tot = 0.0 μB per cell

Cell lengths 3.358, 3.358, 17.132 Å; angles 90.00, 90.00, 90.00 degrees
Sites, in units of the cell vectors:
Zr: 0.000 0.000 0.000
Zr: 0.000 0.000 0.193
Zr: 0.000 0.000 0.388
Zr: 0.000 0.000 0.612
Zr: 0.000 0.000 0.807
Zn: 0.500 0.500 0.097
Zn: 0.500 0.500 0.290
Zn: 0.500 0.500 0.710
Zn: 0.500 0.500 0.903
Hg: 0.500 0.500 0.500


No. 2
# Zr2ZnHg

An optimized crystal structure of Zr2ZnHg (PBE, Alexandria via LeMat-Bulk).

Output
E_form = 0.65 eV per formula unit
energy above the most stable polymorph in this dataset = 373 meV per atom
M_tot = 0.0 μB per cell

Cell lengths 6.761, 6.761, 6.761 Å; angles 35.31, 35.31, 35.31 degrees
Sites, in units of the cell vectors:
Zr: 0.000 0.000 0.000
Zr: 0.198 0.198 0.198
Zn: 0.596 0.596 0.596
Hg: 0.432 0.432 0.432


No. 3
# Zr4ZnHg3

An optimized crystal structure of Zr4ZnHg3 (PBE, Alexandria via LeMat-Bulk).

Output
E_form = -1.47 eV per formula unit
M_tot = 0.0 μB per cell

Cell lengths 9.112, 9.055, 4.430 Å; angles 76.60, 75.17, 28.22 degrees
Sites, in units of the cell vectors:
Zr: 0.121 0.121 0.379
Zr: 0.379 0.379 0.121
Zr: 0.621 0.621 0.879
Zr: 0.879 0.879 0.621
Zn: 0.000 0.000 0.000
Hg: 0.251 0.251 0.749
Hg: 0.500 0.500 0.500
Hg: 0.749 0.749 0.251


No. 4
# ZrZnHg2

An optimized crystal structure of ZrZnHg2 (PBE, Alexandria via LeMat-Bulk).

Output
E_form = 0.00 eV per formula unit
M_tot = 0.0 μB per cell

Cell lengths 5.440, 5.440, 3.041 Å; angles 90.00, 90.00, 110.36 degrees
Sites, in units of the cell vectors:
Zr: 0.000 0.000 0.000
Zn: 0.500 0.500 0.000
Hg: 0.000 0.500 0.500
Hg: 0.500 0.000 0.500


No. 5
# ZrZnHg2

An optimized crystal structure of ZrZnHg2 (PBE, Alexandria via LeMat-Bulk).

Output
E_form = -0.25 eV per formula unit
M_tot = 0.0 μB per cell

Cell lengths 3.196, 3.196, 8.034 Å; angles 90.00, 90.00, 90.00 degrees
Sites, in units of the cell vectors:
Zr: 0.000 0.000 0.000
Zn: 0.500 0.500 0.776
Hg: 0.000 0.000 0.553
Hg: 0.500 0.500 0.267


No. 6
# Zr4Zn3Hg2

An optimized crystal structure of Zr4Zn3Hg2 (PBE, Alexandria via LeMat-Bulk).

Output
E_form = -1.31 eV per formula unit
M_tot = 0.0 μB per cell

Cell lengths 5.345, 5.345, 8.779 Å; angles 110.91, 110.91, 50.02 degrees
Sites, in units of the cell vectors:
Zr: 0.041 0.041 0.341
Zr: 0.346 0.346 0.107
Zr: 0.654 0.654 0.893
Zr: 0.959 0.959 0.659
Zn: 0.000 0.000 0.000
Zn: 0.362 0.362 0.440
Zn: 0.638 0.638 0.560
Hg: 0.297 0.297 0.744
Hg: 0.703 0.703 0.256


No. 7
# ZrZn4Hg

An optimized crystal structure of ZrZn4Hg (PBE, Alexandria via LeMat-Bulk).

Output
E_form = 0.15 eV per formula unit
M_tot = 0.0 μB per cell

Cell lengths 5.279, 5.279, 5.279 Å; angles 60.00, 60.00, 60.00 degrees
Sites, in units of the cell vectors:
Zr: 0.000 0.000 0.000
Zn: 0.373 0.373 0.373
Zn: 0.373 0.373 0.880
Zn: 0.373 0.880 0.373
Zn: 0.880 0.373 0.373
Hg: 0.750 0.750 0.750


No. 8
# ZrZn2Hg2

An optimized crystal structure of ZrZn2Hg2 (PBE, Alexandria via LeMat-Bulk).

Output
E_form = 0.21 eV per formula unit
energy above the most stable polymorph in this dataset = 0 meV per atom
M_tot = 0.0 μB per cell

Cell lengths 7.776, 7.776, 3.216 Å; angles 90.00, 90.00, 90.00 degrees
Sites, in units of the cell vectors:
Zr: 0.000 0.000 0.000
Zr: 0.500 0.500 0.000
Zn: 0.119 0.381 0.000
Zn: 0.381 0.881 0.000
Zn: 0.619 0.119 0.000
Zn: 0.881 0.619 0.000
Hg: 0.181 0.681 0.500
Hg: 0.319 0.181 0.500
Hg: 0.681 0.819 0.500
Hg: 0.819 0.319 0.500


No. 9
# Zr2ZnHg

An optimized crystal structure of Zr2ZnHg (PBE, Alexandria via LeMat-Bulk).

Output
E_form = -0.70 eV per formula unit
energy above the most stable polymorph in this dataset = 36 meV per atom
M_tot = 0.0 μB per cell

Cell lengths 4.872, 4.872, 4.872 Å; angles 60.00, 60.00, 60.00 degrees
Sites, in units of the cell vectors:
Zr: 0.250 0.250 0.250
Zr: 0.750 0.750 0.750
Zn: 0.000 0.000 0.000
Hg: 0.500 0.500 0.500


No. 10
# Zr3Zn3Hg

An optimized crystal structure of Zr3Zn3Hg (PBE, Alexandria via LeMat-Bulk).

Output
E_form = -0.31 eV per formula unit
M_tot = 0.0 μB per cell

Cell lengths 6.523, 6.523, 6.526 Å; angles 90.00, 90.00, 94.17 degrees
Sites, in units of the cell vectors:
Zr: 0.213 0.213 0.500
Zr: 0.235 0.235 0.000
Zr: 0.244 0.756 0.000
Zr: 0.756 0.244 0.000
Zr: 0.765 0.765 0.000
Zr: 0.787 0.787 0.500
Zn: 0.000 0.500 0.258
Zn: 0.000 0.500 0.742
Zn: 0.500 0.000 0.258
Zn: 0.500 0.000 0.742
Zn: 0.500 0.500 0.265
Zn: 0.500 0.500 0.735
Hg: 0.243 0.757 0.500
Hg: 0.757 0.243 0.500


No. 11
# Zr2ZnHg

An optimized crystal structure of Zr2ZnHg (PBE, Alexandria via LeMat-Bulk).

Output
E_form = -0.50 eV per formula unit
energy above the most stable polymorph in this dataset = 86 meV per atom
M_tot = 0.0 μB per cell

Cell lengths 3.175, 3.175, 8.210 Å; angles 90.00, 90.00, 90.00 degrees
Sites, in units of the cell vectors:
Zr: 0.000 0.000 0.000
Zr: 0.500 0.500 0.279
Zn: 0.500 0.500 0.766
Hg: 0.000 0.000 0.546


No. 12
# Zr2ZnHg

An optimized crystal structure of Zr2ZnHg (PBE, Alexandria via LeMat-Bulk).

Output
E_form = -0.12 eV per formula unit
energy above the most stable polymorph in this dataset = 180 meV per atom
M_tot = 0.0 μB per cell

Cell lengths 9.338, 9.338, 9.338 Å; angles 20.54, 20.54, 20.54 degrees
Sites, in units of the cell vectors:
Zr: 0.000 0.000 0.000
Zr: 0.246 0.246 0.246
Zn: 0.748 0.748 0.748
Hg: 0.492 0.492 0.492